The following is a DFT calculation (GGA-PBE) of crystalline DyMnNiGe2 at its relaxed geometry.

**E_form**: -0.56 eV/atom

a b c (Å): 4.0496 4.0496 10.3191
angles (deg): 90.00 90.00 90.00
With the nearest neighbours (Å) after each atom.
Space group I-4m2 (No. 119)
Symmetry-distinct sites (fractional):
Dy 0.0000 0.0000 0.0000 [2 per cell]  8 Ge 3.13, 4 Mn 3.28, 4 Ni 3.28
Mn 0.0000 0.5000 0.2500 [2 per cell]  4 Ge 2.42
Ni 0.0000 0.5000 0.7500 [2 per cell]  4 Ge 2.42
Ge 0.0000 0.0000 0.3784 [4 per cell]  2 Mn 2.42, 2 Ni 2.42, 1 Ge 2.51